1.
The following is a GGA-PBE calculation of Nd2SiSeO4 after structural relaxation, from Alexandria.

Results
Raw total energy (eV/atom): -7.758
Theoretical density (g cm⁻³): 6.1
Formation energy (no corrections) (eV per atom): -2.974

a = 6.250 Å, b = 7.239 Å, c = 11.127 Å
α = 90.00°, β = 90.00°, γ = 90.00°
Space group Pbcm (No. 57)
Symmetry-distinct sites (fractional):
Nd (0.109, 0.250, 0.000) (multiplicity 4)
Nd (0.369, 0.535, 0.250) (multiplicity 4)
Si (0.386, 0.750, 0.000) (multiplicity 4)
Se (0.074, 0.617, 0.750) (multiplicity 4)
O (0.228, 0.575, 0.032) (multiplicity 8)
O (0.453, 0.234, 0.618) (multiplicity 8)

2.
The following is a GGA-PBE calculation of NaS2ICl after structural relaxation, from Alexandria.

Results
Raw total energy (eV/atom): -2.044
Theoretical density (g cm⁻³): 2.8
Formation energy (no corrections) (eV per atom): 0.551
Offset from the most stable computed form (eV per formula unit): 2.58

a = 5.457 Å, b = 5.457 Å, c = 4.967 Å
α = 90.00°, β = 90.00°, γ = 90.00°
Space group P4/mmm (No. 123)
Symmetry-distinct sites (fractional):
Na (0.000, 0.000, 0.000) (multiplicity 1)
S (0.000, 0.500, 0.000) (multiplicity 2)
I (0.500, 0.500, 0.500) (multiplicity 1)
Cl (0.000, 0.000, 0.500) (multiplicity 1)

3.
The following is a GGA-PBE calculation of Sm3Er4Mg after structural relaxation, from Alexandria.

Results
Raw total energy (eV/atom): -4.250
Energy relative to the elements (meV/atom): 1
Theoretical density (g cm⁻³): 7.7
Offset from the most stable computed form (eV per formula unit): 0.00

a = 11.252 Å, b = 7.128 Å, c = 6.188 Å
α = 90.00°, β = 90.00°, γ = 90.00°
Space group Pmn2_1 (No. 31)
Symmetry-distinct sites (fractional):
Sm (0.000, 0.129, 0.000) (multiplicity 2)
Sm (0.242, 0.122, 0.346) (multiplicity 4)
Er (0.000, 0.382, 0.525) (multiplicity 2)
Er (0.000, 0.624, 0.011) (multiplicity 2)
Er (0.245, 0.623, 0.352) (multiplicity 4)
Mg (0.000, 0.870, 0.512) (multiplicity 2)

4.
The following is a GGA-PBE calculation of ReTc2Sb after structural relaxation, from Alexandria.

Results
Raw total energy (eV/atom): -8.930
Theoretical density (g cm⁻³): 12.8
Formation energy (no corrections) (eV per atom): 0.396

a = 2.9382 Å, b = 2.9382 Å, c = 26.2116 Å
α = 90.00°, β = 90.00°, γ = 120.00°
Space group R3m (No. 160, hexagonal axes)
Symmetry-distinct sites (fractional):
Re (0.0000, 0.0000, 0.0000) (multiplicity 3)
Tc (0.0000, 0.0000, 0.2537) (multiplicity 3)
Tc (0.0000, 0.0000, 0.5069) (multiplicity 3)
Sb (0.0000, 0.0000, 0.7548) (multiplicity 3)

5.
The following is a GGA-PBE calculation of Hf2GaRh2 after structural relaxation, from Alexandria.

Results
Raw total energy (eV/atom): -8.061
Energy relative to the elements (meV/atom): -534
Theoretical density (g cm⁻³): 11.4

a = 7.742 Å, b = 7.742 Å, c = 3.087 Å
α = 90.00°, β = 90.00°, γ = 90.00°
Space group P4/mbm (No. 127)
Symmetry-distinct sites (fractional):
Hf (0.157, 0.343, 0.000) (multiplicity 4)
Ga (0.000, 0.000, 0.000) (multiplicity 2)
Rh (0.135, 0.635, 0.500) (multiplicity 4)

6.
The following is a GGA-PBE calculation of Ba2NaPtAu after structural relaxation, from Alexandria.

Results
Raw total energy (eV/atom): -3.473
Energy relative to the elements (meV/atom): -577
Theoretical density (g cm⁻³): 6.8

a = 4.615 Å, b = 4.615 Å, c = 15.811 Å
α = 90.00°, β = 90.00°, γ = 90.00°
Space group P4/nmm (No. 129, origin choice 2)
Symmetry-distinct sites (fractional):
Ba (0.250, 0.250, 0.099) (multiplicity 2)
Ba (0.250, 0.250, 0.703) (multiplicity 2)
Na (0.250, 0.750, 0.500) (multiplicity 2)
Pt (0.250, 0.250, 0.895) (multiplicity 2)
Au (0.250, 0.250, 0.361) (multiplicity 2)